# K2PmFe2O4

A relaxed structure of K2PmFe2O4 (PBE+U, Alexandria via LeMat-Bulk).

```
K2PmFe2O4
1.0
6.785 -1.806 0.000
6.785 1.806 0.000
-1.433 0.000 6.435
K Pm Fe O
2 1 2 4
Direct
0.126 0.126 0.029 K
0.874 0.874 0.971 K
0.000 0.000 0.500 Pm
0.323 0.323 0.511 Fe
0.677 0.677 0.489 Fe
0.190 0.190 0.655 O
0.459 0.459 0.710 O
0.541 0.541 0.290 O
0.810 0.810 0.345 O
```

M_tot = 7.56 Bohr magnetons per cell
SG = No. 12
E = -5.79 eV/atom
Fermi-level density of states = 0.16 states/eV/atom